# 1
TbCd4Ag: optimized geometry, PBE-GGA.

Computed properties:
Final energy = -1.92 eV per atom
Energy above the most stable polymorph in this dataset = 122 meV per atom
DFT formation energy = -0.36 eV/f.u.
Space-group type = No. 216

Cell: 5.801 5.801 5.801 Å, 60.00 60.00 60.00°
Atoms (fractional coordinates):
Ag (0.000, 0.000, 0.000)
Cd (0.625, 0.625, 0.625)
Cd (0.125, 0.625, 0.625)
Cd (0.625, 0.625, 0.125)
Cd (0.625, 0.125, 0.625)
Tb (0.250, 0.250, 0.250)

# 2
B5C7: optimized geometry, PBE-GGA.

Computed properties:
Final energy = -7.84 eV per atom
Energy above the most stable polymorph in this dataset = 67 meV per atom
DFT formation energy = 3.90 eV/f.u.
Space-group type = No. 8

Cell: 6.246 6.246 5.267 Å, 105.79 105.79 24.42°
Atoms (fractional coordinates):
C (0.917, 0.917, 0.160)
C (0.320, 0.320, 0.684)
C (0.661, 0.661, 0.819)
C (0.586, 0.586, 0.535)
C (0.590, 0.590, 0.013)
C (0.238, 0.238, 0.872)
C (0.262, 0.262, 0.394)
B (0.878, 0.878, 0.816)
B (0.668, 0.668, 0.327)
B (0.328, 0.328, 0.167)
B (0.027, 0.027, 0.037)
B (0.025, 0.025, 0.424)

# 3
NaBeSN2: optimized geometry, PBE-GGA.

Computed properties:
Final energy = -2.88 eV per atom
Formation energy (no corrections) = 220 kJ per mole of atoms
Energy above the most stable polymorph in this dataset = 1361 meV per atom
Space-group type = No. 123

Cell: 4.165 4.165 5.362 Å, 90.00 90.00 90.00°
Atoms (fractional coordinates):
N (0.000, 0.500, 0.000)
N (0.500, 0.000, 0.000)
S (0.000, 0.000, 0.500)
Na (0.000, 0.000, 0.000)
Be (0.500, 0.500, 0.500)

# 4
TbPmNp2Se4: optimized geometry, PBE-GGA.

Computed properties:
Final energy = -7.60 eV per atom
Formation energy (no corrections) = -139 kJ per mole of atoms
Space-group type = No. 10

Cell: 4.119 7.147 7.140 Å, 109.40 90.00 90.00°
Atoms (fractional coordinates):
Se (0.500, 0.255, 0.255)
Se (0.500, 0.745, 0.745)
Se (0.000, 0.253, 0.748)
Se (0.000, 0.747, 0.252)
Np (0.000, 0.500, 0.500)
Np (0.500, 0.000, 0.500)
Tb (0.500, 0.500, 0.000)
Pm (0.000, 0.000, 0.000)

# 5
TbSmTmSc: optimized geometry, PBE-GGA.

Computed properties:
Final energy = -4.94 eV per atom
Energy above the most stable polymorph in this dataset = 0 meV per atom
DFT formation energy = 0.39 eV/f.u.
Space-group type = No. 8

Cell: 3.766 5.603 6.652 Å, 114.91 73.52 90.00°
Atoms (fractional coordinates):
Tb (0.653, 0.411, 0.821)
Sc (0.919, 0.644, 0.287)
Sm (0.423, 0.138, 0.276)
Tm (0.191, 0.872, 0.745)

# 6
Ni2C3N6: optimized geometry, PBE-GGA.

Computed properties:
Final energy = -7.72 eV per atom
Formation energy (no corrections) = 38 kJ per mole of atoms
Energy above the most stable polymorph in this dataset = 0 meV per atom
Space-group type = No. 167

Cell: 9.724 9.724 9.724 Å, 32.06 32.06 32.06°
Atoms (fractional coordinates):
C (0.750, 0.068, 0.432)
C (0.068, 0.432, 0.750)
C (0.432, 0.750, 0.068)
C (0.250, 0.932, 0.568)
C (0.932, 0.568, 0.250)
C (0.568, 0.250, 0.932)
Ni (0.335, 0.335, 0.335)
Ni (0.665, 0.665, 0.665)
Ni (0.165, 0.165, 0.165)
Ni (0.835, 0.835, 0.835)
N (0.590, 0.332, 0.961)
N (0.332, 0.961, 0.590)
N (0.090, 0.461, 0.832)
N (0.910, 0.539, 0.168)
N (0.168, 0.910, 0.539)
N (0.832, 0.090, 0.461)
N (0.539, 0.168, 0.910)
N (0.039, 0.410, 0.668)
N (0.410, 0.668, 0.039)
N (0.961, 0.590, 0.332)
N (0.461, 0.832, 0.090)
N (0.668, 0.039, 0.410)

# 7
Hf2Cu2Os: optimized geometry, PBE-GGA.

Computed properties:
Final energy = -8.03 eV per atom
Energy above the most stable polymorph in this dataset = 90 meV per atom
DFT formation energy = -0.80 eV/f.u.
Space-group type = No. 127

Cell: 6.863 6.863 3.411 Å, 90.00 90.00 90.00°
Atoms (fractional coordinates):
Hf (0.686, 0.814, 0.500)
Hf (0.186, 0.686, 0.500)
Hf (0.314, 0.186, 0.500)
Hf (0.814, 0.314, 0.500)
Cu (0.380, 0.880, 0.000)
Cu (0.620, 0.120, 0.000)
Cu (0.880, 0.620, 0.000)
Cu (0.120, 0.380, 0.000)
Os (0.000, 0.000, 0.000)
Os (0.500, 0.500, 0.000)

# 8
Rb2Sc3CuF12: optimized geometry, PBE-GGA.

Computed properties:
Final energy = -5.99 eV per atom
Formation energy (no corrections) = -323 kJ per mole of atoms
Space-group type = No. 166

Cell: 7.533 7.533 7.533 Å, 62.48 62.48 62.48°
Atoms (fractional coordinates):
F (0.906, 0.906, 0.360)
F (0.925, 0.306, 0.306)
F (0.075, 0.694, 0.694)
F (0.306, 0.925, 0.306)
F (0.094, 0.094, 0.640)
F (0.906, 0.360, 0.906)
F (0.694, 0.075, 0.694)
F (0.306, 0.306, 0.925)
F (0.640, 0.094, 0.094)
F (0.360, 0.906, 0.906)
F (0.094, 0.640, 0.094)
F (0.694, 0.694, 0.075)
Sc (0.000, 0.500, 0.000)
Sc (0.500, 0.000, 0.000)
Sc (0.000, 0.000, 0.500)
Rb (0.363, 0.363, 0.363)
Rb (0.637, 0.637, 0.637)
Cu (0.000, 0.000, 0.000)

# 9
KTe2Au: optimized geometry, PBE-GGA.

Computed properties:
Final energy = -2.94 eV per atom
Formation energy (no corrections) = -26 kJ per mole of atoms
Space-group type = No. 166

Cell: 8.546 8.546 8.546 Å, 29.04 29.04 29.04°
Atoms (fractional coordinates):
Te (0.977, 0.977, 0.977)
Te (0.523, 0.523, 0.523)
Au (0.250, 0.250, 0.250)
K (0.750, 0.750, 0.750)

# 10
PaSi2TcNi: optimized geometry, PBE-GGA.

Computed properties:
Final energy = -7.73 eV per atom
Formation energy (no corrections) = -41 kJ per mole of atoms
Space-group type = No. 63

Cell: 3.966 5.584 7.775 Å, 90.00 90.00 110.80°
Atoms (fractional coordinates):
Si (0.787, 0.575, 0.418)
Si (0.213, 0.425, 0.918)
Si (0.213, 0.425, 0.582)
Si (0.787, 0.575, 0.082)
Tc (0.808, 0.615, 0.750)
Tc (0.192, 0.385, 0.250)
Pa (0.512, 0.023, 0.750)
Pa (0.488, 0.977, 0.250)
Ni (0.000, 0.000, 0.000)
Ni (0.000, 0.000, 0.500)

# 11
InTeH2F: optimized geometry, PBE-GGA.

Computed properties:
Final energy = -3.27 eV per atom
Space-group type = No. 123

Cell: 3.891 6.222 3.891 Å, 90.00 90.00 90.00°
Atoms (fractional coordinates):
H (0.000, 0.000, 0.500)
H (0.500, 0.000, 0.000)
In (0.000, 0.500, 0.000)
Te (0.000, 0.000, 0.000)
F (0.500, 0.500, 0.500)

# 12
HRuRh3: optimized geometry, PBE-GGA.

Computed properties:
Final energy = -5.05 eV per atom
Energy above the most stable polymorph in this dataset = 1789 meV per atom
Space-group type = No. 221

Cell: 4.680 4.680 4.680 Å, 90.00 90.00 90.00°
Atoms (fractional coordinates):
H (0.500, 0.500, 0.500)
Rh (0.500, 0.000, 0.000)
Rh (0.000, 0.000, 0.500)
Rh (0.000, 0.500, 0.000)
Ru (0.000, 0.000, 0.000)

Question: Number 9 is which compound?
Answer: KTe2Au

Question: Among the records above, which one has the lowest final energy?
Answer: Hf2Cu2Os

Repeat the tenth record exactly.
PaSi2TcNi: optimized geometry, PBE-GGA.

Computed properties:
Final energy = -7.73 eV per atom
Formation energy (no corrections) = -41 kJ per mole of atoms
Space-group type = No. 63

Cell: 3.966 5.584 7.775 Å, 90.00 90.00 110.80°
Atoms (fractional coordinates):
Si (0.787, 0.575, 0.418)
Si (0.213, 0.425, 0.918)
Si (0.213, 0.425, 0.582)
Si (0.787, 0.575, 0.082)
Tc (0.808, 0.615, 0.750)
Tc (0.192, 0.385, 0.250)
Pa (0.512, 0.023, 0.750)
Pa (0.488, 0.977, 0.250)
Ni (0.000, 0.000, 0.000)
Ni (0.000, 0.000, 0.500)

Question: Which formula does entry 12 have?
Answer: HRuRh3